# MgCd2F

Crystalline MgCd2F at its relaxed geometry (PBE, Alexandria).

Summary:
Raw formation energy in kJ/mol of formula units: -196
Excess energy over the best structure of this formula in the dataset in meV/atom: 220.3
Space-group type: Fm-3m (225)
Calculated total energy in eV/cell: -7.33

Cell: 4.9003 4.9003 4.9003 Å, 60.00 60.00 60.00°
Fractional positions:
Mg (0.0000, 0.0000, 0.0000)
Cd (0.2500, 0.2500, 0.2500)
Cd (0.7500, 0.7500, 0.7500)
F (0.5000, 0.5000, 0.5000)